(1)
DFT (PBE-GGA) results for a relaxed structure of AlAgOs2.

Its symmetry is Cm. Its electronic total energy is -7.02 eV per atom. The formation energy is 0.241 eV/atom. As for the total magnetization: 0.00 μB/f.u.

Unit cell a=4.7195 b=4.7195 c=4.8237 alpha=100.19 beta=100.19 gamma=34.90
Last column: nearest neighbours and their distance in Å.
Element x y z (fractional)
Al 0.0000 0.0000 0.0000  3 Ag 2.59-2.73, 6 Os 2.72-2.88, 2 Al 2.83
Ag 0.7552 0.7552 0.2110  3 Al 2.59-2.73, 5 Os 2.77-2.84, 2 Ag 2.83
Os 0.2625 0.2625 0.7069  5 Os 2.61-2.83, 2 Al 2.73, 4 Ag 2.77-2.82
Os 0.5178 0.5178 0.5256  5 Os 2.61-2.83, 4 Al 2.72-2.88, 1 Ag 2.84



(2)
DFT (PBE-GGA) results for a relaxed structure of YSi2Cl.

Its symmetry is Pmm2. Its electronic total energy is -5.31 eV per atom. The value obtained for the uncorrected formation energy is -0.523 eV per atom. As for the total magnetization: 0.00 μB/f.u.

Unit cell a=3.2494 b=3.3778 c=8.6092 alpha=90.00 beta=90.00 gamma=90.00
Last column: nearest neighbours and their distance in Å.
Element x y z (fractional)
Y 0.0000 0.0000 0.0000  4 Cl 2.88, 5 Si 3.08-3.10
Si 0.0000 0.0000 0.3605  4 Si 2.59
Si 0.5000 0.5000 0.2313  4 Si 2.59
Cl 0.5000 0.5000 0.8058  4 Y 2.88



(3)
DFT (PBE-GGA) results for a relaxed structure of RbTbMnBr6.

Its symmetry is P-31c. Its electronic total energy is -3.99 eV per atom. The value obtained for the uncorrected formation energy is -1.232 eV per atom. As for the total magnetization: 0.88 μB/f.u.

Unit cell a=6.9083 b=6.9083 c=15.7570 alpha=90.00 beta=90.00 gamma=120.00
Last column: nearest neighbours and their distance in Å.
Element x y z (fractional)
Rb 0.0000 0.0000 0.0000  6 Br 3.50
Rb 0.0000 0.0000 0.5000  6 Br 3.50
Tb 0.3333 0.6667 0.2500  6 Br 2.82
Tb 0.6667 0.3333 0.7500  6 Br 2.82
Mn 0.3333 0.6667 0.7500  6 Br 2.54
Mn 0.6667 0.3333 0.2500  6 Br 2.54
Br 0.0318 0.3817 0.6531  1 Mn 2.54, 1 Tb 2.82
Br 0.0318 0.6501 0.8469  1 Mn 2.54, 1 Tb 2.82
Br 0.3499 0.3817 0.8469  1 Mn 2.54, 1 Tb 2.82
Br 0.3499 0.9682 0.6531  1 Mn 2.54, 1 Tb 2.82
Br 0.3817 0.0318 0.1531  1 Mn 2.54, 1 Tb 2.82
Br 0.3817 0.3499 0.3469  1 Mn 2.54, 1 Tb 2.82
Br 0.6183 0.6501 0.6531  1 Mn 2.54, 1 Tb 2.82
Br 0.6183 0.9682 0.8469  1 Mn 2.54, 1 Tb 2.82
Br 0.6501 0.0318 0.3469  1 Mn 2.54, 1 Tb 2.82
Br 0.6501 0.6183 0.1531  1 Mn 2.54, 1 Tb 2.82
Br 0.9682 0.3499 0.1531  1 Mn 2.54, 1 Tb 2.82
Br 0.9682 0.6183 0.3469  1 Mn 2.54, 1 Tb 2.82



(4)
DFT (PBE-GGA) results for a relaxed structure of TcAg2SBr.

Its symmetry is P4/mmm. Its electronic total energy is -3.29 eV per atom. The value obtained for the uncorrected formation energy is 1.082 eV per atom. As for the total magnetization: 4.31 μB/f.u.

Unit cell a=4.7558 b=4.7558 c=5.4665 alpha=90.00 beta=90.00 gamma=90.00
Last column: nearest neighbours and their distance in Å.
Element x y z (fractional)
Tc 0.0000 0.0000 0.0000  4 Br 3.36, 8 Ag 3.62
Ag 0.0000 0.5000 0.5000  2 S 2.38
Ag 0.5000 0.0000 0.5000  2 S 2.38
S 0.5000 0.5000 0.5000  4 Ag 2.38
Br 0.5000 0.5000 0.0000  2 S 2.73



(5)
DFT (PBE-GGA) results for a relaxed structure of MgZnTe2.

Its symmetry is C2/m. Its electronic total energy is -2.48 eV per atom. The value obtained for the uncorrected formation energy is -0.195 eV per atom. As for the total magnetization: 0.00 μB/f.u.

Unit cell a=5.2835 b=5.2835 c=4.2419 alpha=105.91 beta=105.91 gamma=100.00
Last column: nearest neighbours and their distance in Å.
Element x y z (fractional)
Mg 0.0000 0.0000 0.0000  4 Te 2.90
Zn 0.5000 0.5000 0.0000  4 Te 2.90
Te 0.0000 0.5000 0.5000  2 Zn 2.90, 2 Mg 2.90
Te 0.5000 0.0000 0.5000  2 Zn 2.90, 2 Mg 2.90



(6)
DFT (PBE-GGA) results for a relaxed structure of Si2AsAu.

Its symmetry is Imm2. Its electronic total energy is -4.38 eV per atom. The value obtained for the uncorrected formation energy is 0.315 eV per atom. As for the total magnetization: 0.00 μB/f.u.

Unit cell a=5.9054 b=5.9054 c=5.9054 alpha=145.53 beta=140.35 gamma=53.53
Last column: nearest neighbours and their distance in Å.
Element x y z (fractional)
Si 0.0000 0.0000 0.0000  2 As 2.54, 2 Si 2.60, 4 Au 2.66
Si 0.8181 0.3181 0.5000  2 Si 2.60, 2 Au 2.67
As 0.1746 0.6746 0.5000  2 Si 2.54, 2 Au 2.83
Au 0.4848 0.4848 0.0000  6 Si 2.66-2.67, 2 As 2.83



(7)
DFT (PBE-GGA) results for a relaxed structure of Na4Dy3CrS8.

Its symmetry is R-3m. Its electronic total energy is -5.43 eV per atom. The value obtained for the uncorrected formation energy is -1.576 eV per atom. As for the total magnetization: 2.99 μB/f.u.

Unit cell a=8.0429 b=8.0429 c=8.0429 alpha=57.75 beta=57.75 gamma=57.75
Last column: nearest neighbours and their distance in Å.
Element x y z (fractional)
Na 0.0000 0.0000 0.0000  6 S 3.05
Na 0.0000 0.5000 0.5000  6 S 2.88
Na 0.5000 0.0000 0.5000  6 S 2.88
Na 0.5000 0.5000 0.0000  6 S 2.88
Dy 0.0000 0.0000 0.5000  6 S 2.72-2.74
Dy 0.0000 0.5000 0.0000  6 S 2.72-2.74
Dy 0.5000 0.0000 0.0000  6 S 2.72-2.74
Cr 0.5000 0.5000 0.5000  6 S 2.54
S 0.2433 0.2433 0.2433  3 Dy 2.72, 3 Na 2.88
S 0.2625 0.7273 0.7273  1 Cr 2.54, 2 Dy 2.74
S 0.2727 0.2727 0.7375  1 Cr 2.54, 2 Dy 2.74
S 0.2727 0.7375 0.2727  1 Cr 2.54, 2 Dy 2.74
S 0.7273 0.2625 0.7273  1 Cr 2.54, 2 Dy 2.74
S 0.7273 0.7273 0.2625  1 Cr 2.54, 2 Dy 2.74
S 0.7375 0.2727 0.2727  1 Cr 2.54, 2 Dy 2.74
S 0.7567 0.7567 0.7567  3 Dy 2.72, 3 Na 2.88



(8)
DFT (PBE-GGA) results for a relaxed structure of Na2La2Pd.

Its symmetry is P4/mbm. Its electronic total energy is -3.53 eV per atom. The formation energy is 0.003 eV/atom. As for the total magnetization: 0.00 μB/f.u.

Unit cell a=7.5297 b=7.5297 c=6.3800 alpha=90.00 beta=90.00 gamma=90.00
Last column: nearest neighbours and their distance in Å.
Element x y z (fractional)
Na 0.1644 0.3356 0.0000  1 Na 3.50, 2 La 3.67
Na 0.3356 0.8356 0.0000  1 Na 3.50, 2 La 3.67
Na 0.6644 0.1644 0.0000  1 Na 3.50, 2 La 3.67
Na 0.8356 0.6644 0.0000  1 Na 3.50, 2 La 3.67
La 0.1657 0.6657 0.5000  2 Pd 2.81
La 0.3343 0.1657 0.5000  2 Pd 2.81
La 0.6657 0.8343 0.5000  2 Pd 2.81
La 0.8343 0.3343 0.5000  2 Pd 2.81
Pd 0.0000 0.0000 0.5000  4 La 2.81
Pd 0.5000 0.5000 0.5000  4 La 2.81



(9)
DFT (PBE-GGA) results for a relaxed structure of Dy8Si3Te4Cl.

Its symmetry is R-3m. Its electronic total energy is -5.41 eV per atom. The value obtained for the uncorrected formation energy is -1.189 eV per atom. As for the total magnetization: 0.00 μB/f.u.

Unit cell a=8.5659 b=8.5659 c=8.5659 alpha=58.68 beta=58.68 gamma=58.68
Last column: nearest neighbours and their distance in Å.
Element x y z (fractional)
Dy 0.2253 0.7471 0.7471  2 Si 2.83, 1 Cl 2.97, 3 Te 3.05-3.17
Dy 0.2394 0.2394 0.2394  3 Si 2.87, 3 Te 3.14
Dy 0.2529 0.2529 0.7747  2 Si 2.83, 1 Cl 2.97, 3 Te 3.05-3.17
Dy 0.2529 0.7747 0.2529  2 Si 2.83, 1 Cl 2.97, 3 Te 3.05-3.17
Dy 0.7471 0.2253 0.7471  2 Si 2.83, 1 Cl 2.97, 3 Te 3.05-3.17
Dy 0.7471 0.7471 0.2253  2 Si 2.83, 1 Cl 2.97, 3 Te 3.05-3.17
Dy 0.7606 0.7606 0.7606  3 Si 2.87, 3 Te 3.14
Dy 0.7747 0.2529 0.2529  2 Si 2.83, 1 Cl 2.97, 3 Te 3.05-3.17
Si 0.0000 0.0000 0.5000  6 Dy 2.83-2.87
Si 0.0000 0.5000 0.0000  6 Dy 2.83-2.87
Si 0.5000 0.0000 0.0000  6 Dy 2.83-2.87
Te 0.0000 0.0000 0.0000  6 Dy 3.05
Te 0.0000 0.5000 0.5000  6 Dy 3.14-3.17
Te 0.5000 0.0000 0.5000  6 Dy 3.14-3.17
Te 0.5000 0.5000 0.0000  6 Dy 3.14-3.17
Cl 0.5000 0.5000 0.5000  6 Dy 2.97



(10)
DFT (PBE-GGA) results for a relaxed structure of Pr2Zn2Pt15.

Its symmetry is R-3m. Its electronic total energy is -5.90 eV per atom. The formation energy is -0.498 eV/atom. As for the total magnetization: 0.00 μB/f.u.

Unit cell a=7.0068 b=7.0068 c=7.0068 alpha=83.23 beta=83.23 gamma=83.23
Last column: nearest neighbours and their distance in Å.
Element x y z (fractional)
Pr 0.1551 0.1551 0.1551  15 Pt 3.22-3.52, 1 Zn 3.36
Pr 0.8449 0.8449 0.8449  15 Pt 3.22-3.52, 1 Zn 3.36
Zn 0.4043 0.4043 0.4043  1 Zn 2.58, 3 Pt 2.85
Zn 0.5957 0.5957 0.5957  1 Zn 2.58, 3 Pt 2.85
Pt 0.0000 0.5000 0.5000  8 Pt 2.68-2.69, 2 Zn 2.85
Pt 0.1575 0.1575 0.6569  8 Pt 2.69-2.79, 1 Zn 2.89
Pt 0.1575 0.6569 0.1575  8 Pt 2.69-2.79, 1 Zn 2.89
Pt 0.1891 0.5000 0.8109  8 Pt 2.68-2.89
Pt 0.1891 0.8109 0.5000  8 Pt 2.68-2.89
Pt 0.3431 0.8425 0.8425  8 Pt 2.69-2.79, 1 Zn 2.89
Pt 0.5000 0.0000 0.5000  8 Pt 2.68-2.69, 2 Zn 2.85
Pt 0.5000 0.1891 0.8109  8 Pt 2.68-2.89
Pt 0.5000 0.5000 0.0000  8 Pt 2.68-2.69, 2 Zn 2.85
Pt 0.5000 0.8109 0.1891  8 Pt 2.68-2.89
Pt 0.6569 0.1575 0.1575  8 Pt 2.69-2.79, 1 Zn 2.89
Pt 0.8109 0.1891 0.5000  8 Pt 2.68-2.89
Pt 0.8109 0.5000 0.1891  8 Pt 2.68-2.89
Pt 0.8425 0.3431 0.8425  8 Pt 2.69-2.79, 1 Zn 2.89
Pt 0.8425 0.8425 0.3431  8 Pt 2.69-2.79, 1 Zn 2.89



(11)
DFT (PBE-GGA) results for a relaxed structure of Pm6Dy2YEr3.

Its symmetry is C2/m. Its electronic total energy is -4.81 eV per atom. The formation energy is 0.013 eV/atom. As for the total magnetization: 0.00 μB/f.u.

Unit cell a=6.2337 b=6.2337 c=11.8044 alpha=95.03 beta=95.03 gamma=119.99
Last column: nearest neighbours and their distance in Å.
Element x y z (fractional)
Pm 0.0817 0.4158 0.2487  3 Er 3.56, 2 Dy 3.58, 1 Y 3.59, 6 Pm 3.59-3.61
Pm 0.2502 0.2502 0.7514  3 Er 3.56, 1 Y 3.59, 2 Dy 3.59, 6 Pm 3.59-3.61
Pm 0.4158 0.0817 0.2487  3 Er 3.56, 2 Dy 3.58, 1 Y 3.59, 6 Pm 3.59-3.61
Pm 0.5842 0.9183 0.7513  3 Er 3.56, 2 Dy 3.58, 1 Y 3.59, 6 Pm 3.59-3.61
Pm 0.7498 0.7498 0.2486  3 Er 3.56, 1 Y 3.59, 2 Dy 3.59, 6 Pm 3.59-3.61
Pm 0.9183 0.5842 0.7513  3 Er 3.56, 2 Dy 3.58, 1 Y 3.59, 6 Pm 3.59-3.61
Dy 0.1667 0.8333 0.5000  6 Pm 3.58-3.59, 3 Y 3.60, 3 Dy 3.60
Dy 0.8333 0.1667 0.5000  6 Pm 3.58-3.59, 3 Y 3.60, 3 Dy 3.60
Y 0.5000 0.5000 0.5000  6 Pm 3.59, 6 Dy 3.60
Er 0.0000 0.0000 0.0000  6 Pm 3.56, 6 Er 3.60
Er 0.3332 0.6668 0.0000  6 Pm 3.56, 6 Er 3.60
Er 0.6668 0.3332 0.0000  6 Pm 3.56, 6 Er 3.60



(12)
DFT (PBE-GGA) results for a relaxed structure of CrNiOs2.

Its symmetry is P4/mmm. Its electronic total energy is -9.24 eV per atom. The formation energy is 0.223 eV/atom. As for the total magnetization: 0.00 μB/f.u.

Unit cell a=3.0491 b=3.0491 c=5.5462 alpha=90.00 beta=90.00 gamma=90.00
Last column: nearest neighbours and their distance in Å.
Element x y z (fractional)
Cr 0.0000 0.0000 0.0000  8 Os 2.58, 2 Ni 2.77
Ni 0.0000 0.0000 0.5000  8 Os 2.54, 2 Cr 2.77
Os 0.5000 0.5000 0.2570  4 Ni 2.54, 4 Cr 2.58, 1 Os 2.70
Os 0.5000 0.5000 0.7430  4 Ni 2.54, 4 Cr 2.58, 1 Os 2.70